No. 1
DFT (PBE-GGA) results for an optimized crystal structure of Pm5In2Sn.

The crystal system is tetragonal. The formation energy comes out at -468 meV/atom. As for the symmetry: No. 140.

a b c (Å): 8.605 8.605 8.994
angles (deg): 118.58 118.58 90.00
Atoms (fractional coordinates):
1 Pm 0.511 0.686 0.697
2 Pm 0.814 0.989 0.303
3 Pm 0.000 0.000 0.000
4 Pm 0.500 0.500 0.000
5 Pm 0.186 0.011 0.697
6 Pm 0.686 0.186 0.697
7 Pm 0.011 0.511 0.697
8 Pm 0.314 0.814 0.303
9 Pm 0.989 0.489 0.303
10 Pm 0.489 0.314 0.303
11 In 0.135 0.365 0.000
12 In 0.635 0.135 0.000
13 In 0.365 0.865 0.000
14 In 0.865 0.635 0.000
15 Sn 0.750 0.750 0.500
16 Sn 0.250 0.250 0.500

=====

No. 2
DFT (PBE-GGA) results for an optimized crystal structure of LiTlOs4.

The crystal system is cubic. The formation energy comes out at 754 meV/atom. As for the symmetry: No. 216.

a b c (Å): 5.234 5.234 5.234
angles (deg): 60.00 60.00 60.00
Atoms (fractional coordinates):
1 Li 0.000 0.000 0.000
2 Tl 0.750 0.750 0.750
3 Os 0.876 0.375 0.375
4 Os 0.375 0.375 0.876
5 Os 0.375 0.876 0.375
6 Os 0.375 0.375 0.375

=====

No. 3
DFT (PBE-GGA) results for an optimized crystal structure of Sr5Mg.

The crystal system is orthorhombic. The formation energy comes out at 32 meV/atom. The polymorph energy (0 for the lowest one) is 0.0450 eV/atom. As for the symmetry: No. 38.

a b c (Å): 9.853 9.853 6.451
angles (deg): 90.00 90.00 152.55
Atoms (fractional coordinates):
1 Sr 0.972 0.028 0.000
2 Sr 0.305 0.695 0.000
3 Sr 0.638 0.362 0.000
4 Sr 0.458 0.542 0.500
5 Sr 0.154 0.846 0.500
6 Mg 0.806 0.194 0.500